1.
Entry from the Alexandria database: a geometry-optimized AcErTlBi structure (GGA-PBE).

The structure in POSCAR format:
```
AcErTlBi
1.0
5.666 0.000 0.000
2.833 4.907 0.000
2.833 1.636 4.626
Ac Bi Tl Er
1 1 1 1
Cartesian
8.499 4.907 3.470
5.666 3.271 2.313
0.000 0.000 0.000
2.833 1.636 1.157
```

Output
Total energy in eV per atom: -4.131
Space group: No. 216

2.
Entry from the Alexandria database: a geometry-optimized Ac4Er3TmBi8 structure (GGA-PBE).

The structure in POSCAR format:
```
Ac4Er3TmBi8
1.0
9.340 0.000 0.000
0.000 9.314 -0.024
-4.670 -4.666 6.607
Ac Er Tm Bi
4 3 1 8
Cartesian
4.670 0.000 0.000
2.335 -2.333 3.303
0.000 0.000 0.000
-2.335 -2.333 3.303
4.670 4.657 -0.012
2.335 2.324 3.291
-2.335 2.324 3.291
0.000 4.657 -0.012
-2.338 2.159 6.478
0.000 4.496 3.170
0.000 0.152 3.408
2.338 2.159 6.478
2.331 2.489 0.105
4.670 4.496 3.174
4.670 0.153 3.412
7.008 2.489 0.105
```

Output
Total energy in eV per atom: -4.988
Space group: No. 166

3.
Entry from the Alexandria database: a geometry-optimized Ac2ErTmBi4 structure (GGA-PBE).

The structure in POSCAR format:
```
Ac2ErTmBi4
1.0
4.671 0.000 0.000
0.000 8.083 0.140
0.000 -2.825 7.542
Ac Er Tm Bi
2 1 1 4
Cartesian
2.335 -1.413 3.771
0.000 2.629 3.841
2.335 4.042 0.070
0.000 0.000 0.000
2.335 1.314 1.723
2.335 3.943 5.960
0.000 -0.105 5.886
0.000 5.363 1.796
```

Output
Total energy in eV per atom: -4.979
Space group: No. 10

4.
Entry from the Alexandria database: a geometry-optimized Ac4ErTm3Bi8 structure (GGA-PBE).

The structure in POSCAR format:
```
Ac4ErTm3Bi8
1.0
9.334 0.000 0.000
0.000 9.306 -0.026
-4.667 -4.663 6.603
Ac Er Tm Bi
4 1 3 8
Cartesian
4.667 0.000 0.000
2.334 -2.331 3.302
0.000 0.000 0.000
-2.334 -2.331 3.302
0.000 4.653 -0.013
4.667 4.653 -0.013
2.334 2.322 3.289
-2.334 2.322 3.289
-2.330 2.156 6.468
0.000 4.484 3.172
0.000 0.159 3.411
2.330 2.156 6.468
2.337 2.487 0.109
4.667 4.484 3.167
4.667 0.159 3.405
6.997 2.487 0.109
```

Output
Total energy in eV per atom: -4.968
Space group: No. 166

Across the entries above, V takes the values 128.62 573.63 286.59 572.46 Å³/cell, respectively.
Across the entries above, DFT formation energy takes the values -0.40 -0.89 -0.88 -0.88 eV/atom, respectively.